The following is a DFT calculation (GGA-PBE) of an optimized crystal structure of CeY3Ir4.

Calculated values
Mass density, g cm⁻³: 11.84
Energy of formation from the pure elements, kJ/mol of formula units: -580.5
Raw total energy, eV/atom: -8.348

Cell and atoms, written as POSCAR:
```
CeY3Ir4
1.0
3.349 0.000 0.000
0.000 4.973 0.000
0.000 0.000 9.901
Ce Y Ir
1 3 4
Cartesian
0.000 0.000 0.000
0.000 0.000 4.950
0.000 2.487 2.508
0.000 2.487 7.393
1.674 0.000 2.429
1.674 0.000 7.471
1.674 2.487 0.000
1.674 2.487 4.950
```



The following is a DFT calculation (GGA-PBE) of an optimized crystal structure of LiPmSn2Te4.

Calculated values
Mass density, g cm⁻³: 5.85
Raw total energy, eV/atom: -4.150

Cell and atoms, written as POSCAR:
```
LiPmSn2Te4
1.0
7.676 0.000 0.000
0.000 4.476 0.000
-2.553 0.000 7.435
Li Pm Sn Te
1 1 2 4
Cartesian
0.000 0.000 0.000
3.838 2.238 0.000
-1.277 2.238 3.717
2.561 0.000 3.717
1.265 2.238 1.786
-0.026 0.000 5.625
5.149 0.000 1.810
3.858 2.238 5.648
```



The following is a DFT calculation (GGA-PBE) of an optimized crystal structure of K2Mg3NpF12.

Calculated values
Mass density, g cm⁻³: 3.89
Raw total energy, eV/atom: -5.684

Cell and atoms, written as POSCAR:
```
K2Mg3NpF12
1.0
3.720 2.148 5.486
-3.720 2.148 5.486
0.000 -4.296 5.486
K Mg Np F
2 3 1 12
Cartesian
0.000 0.000 1.818
0.000 0.000 14.639
-1.860 -1.074 5.486
-1.860 1.074 10.971
0.000 2.148 5.486
0.000 0.000 8.229
-1.887 -1.090 7.521
0.000 -1.591 5.817
-1.378 0.796 5.817
0.000 -2.179 8.936
-1.887 1.090 8.936
-1.378 -0.796 10.640
1.378 0.796 5.817
1.887 -1.090 7.521
0.000 2.179 7.521
1.378 -0.796 10.640
0.000 1.591 10.640
1.887 1.090 8.936
```



The following is a DFT calculation (GGA-PBE) of an optimized crystal structure of CoBSbBr2.

Calculated values
Mass density, g cm⁻³: 3.65
Raw total energy, eV/atom: -2.938

Cell and atoms, written as POSCAR:
```
CoBSbBr2
1.0
5.732 0.000 0.000
0.000 5.732 0.000
0.000 0.000 4.871
Co B Sb Br
1 1 1 2
Cartesian
0.000 0.000 0.000
2.866 2.866 0.000
0.000 0.000 2.436
0.000 2.866 2.436
2.866 0.000 2.436
```